Computed, not measured: a relaxed Pr8Nd6Sn crystal at the PBE-GGA level of DFT.

Results
SG: No. 147
Calculated formation energy in eV/atom: 0.0155
Mass density in g/cm³: 6.61
Calculated volume in Å³ per cell: 530.3
Total DFT energy (no corrections) in eV/cell: -70.614

a = 6.786 Å, b = 9.499 Å, c = 9.499 Å
α = 120.00°, β = 90.00°, γ = 90.00°
Fractional positions:
Pr  0.874  0.333  0.667
Pr  0.179  0.269  0.228
Nd  0.663  0.441  0.349
Nd  0.337  0.559  0.651
Pr  0.821  0.731  0.772
Nd  0.337  0.349  0.908
Pr  0.179  0.772  0.041
Nd  0.663  0.651  0.092
Pr  0.821  0.041  0.269
Sn  0.500  0.000  0.000
Nd  0.663  0.908  0.559
Nd  0.337  0.092  0.441
Pr  0.179  0.959  0.731
Pr  0.821  0.228  0.959
Pr  0.126  0.667  0.333